DFT (PBE) results for a relaxed Ac2PmSm8 crystal.

Properties
Density of states at the Fermi level, states/eV/atom: 1.536
Energy above the most stable polymorph in this dataset, eV per atom: 0.157
V, Å³/cell: 815.95
Calculated formation energy, kJ/mol of atoms: 18.5

a b c (Å): 19.939 7.149 5.732
angles (deg): 90.00 93.13 90.00
Space group C2/m (No. 12)
Inequivalent atoms, fractional coordinates:
1 Ac 0.218 0.000 0.257 (multiplicity 4)
2 Pm 0.000 0.500 0.000 (multiplicity 2)
3 Sm 0.044 0.000 0.236 (multiplicity 4)
4 Sm 0.124 0.235 0.733 (multiplicity 8)
5 Sm 0.177 0.500 0.226 (multiplicity 4)